VASP calculation (PBE) on a relaxed ThNbS6 crystal.

The calculated total energy comes out at -6.111 eV/atom.

a = 6.238 Å, b = 6.302 Å, c = 6.394 Å
α = 106.21°, β = 106.97°, γ = 108.41°
Element x y z (fractional)
Th (0.000, 0.000, 0.000)
Nb (0.000, 0.500, 0.500)
S (0.026, 0.859, 0.387)
S (0.271, 0.754, 0.916)
S (0.337, 0.488, 0.371)
S (0.663, 0.512, 0.629)
S (0.729, 0.246, 0.084)
S (0.974, 0.141, 0.613)